This record from the Alexandria database describes an optimized crystal structure of MoRu2Pb2. The functional is PBE-GGA.

* space-group type: No. 127
* total magnetization: 0.000 μB/cell
* calculated density: 12.04 g cm⁻³
* polymorph energy (0 for the lowest one): 0 meV/atom
* formation energy from the elements: 309 kJ/mol of formula units
* uncorrected energy: -6.72 eV per atom

Cell and atoms, written as extended XYZ:
```
10
Lattice="6.6818 0.0000 0.0000 0.0000 6.6818 0.0000 0.0000 0.0000 4.4009" Properties=species:S:1:pos:R:3 pbc="T T T"
Mo 0.0000 0.0000 0.0000
Mo 3.3409 3.3409 0.0000
Ru 0.9024 2.4384 0.0000
Ru 2.4384 5.7793 0.0000
Ru 4.2433 0.9024 0.0000
Ru 5.7793 4.2433 0.0000
Pb 1.1806 4.5215 2.2005
Pb 2.1603 1.1806 2.2005
Pb 4.5215 5.5012 2.2005
Pb 5.5012 2.1603 2.2005
```

This record from the Alexandria database describes an optimized crystal structure of MoRuPb2. The functional is PBE-GGA.

* space-group type: No. 65
* total magnetization: 0.673 μB/cell
* calculated density: 12.59 g cm⁻³
* polymorph energy (0 for the lowest one): 565 meV/atom
* formation energy from the elements: 317 kJ/mol of formula units
* uncorrected energy: -6.06 eV per atom

Cell and atoms, written as extended XYZ:
```
8
Lattice="3.5017 0.0000 0.0000 0.0000 5.2645 0.0000 0.0000 0.0000 8.7506" Properties=species:S:1:pos:R:3 pbc="T T T"
Mo 0.0000 0.0000 0.0000
Mo 1.7508 2.6322 0.0000
Ru 0.0000 0.0000 4.3753
Ru 1.7508 2.6322 4.3753
Pb 0.0000 2.6322 2.2708
Pb 0.0000 2.6322 6.4798
Pb 1.7508 0.0000 2.2708
Pb 1.7508 0.0000 6.4798
```

The highest formation energy from the elements belongs to which entry?
MoRuPb2

total magnetization of number 2 (MoRuPb2)?
0.673 μB/cell